1.
Material: Pm4GeIrCl2
Method: DFT, GGA-PBE
State: relaxed

Calculated values
- SG: No. 10
- Crystal system: monoclinic
- Formation energy from raw total energies: -1.179 eV/atom

Unit cell a=7.471 b=4.130 c=7.474 alpha=90.00 beta=108.05 gamma=90.00
Atoms (fractional coordinates):
1 Pm 0.226 0.000 0.210
2 Pm 0.247 0.500 0.783
3 Pm 0.753 0.500 0.217
4 Pm 0.774 0.000 0.790
5 Ge 0.500 0.000 0.000
6 Ir 0.000 0.500 0.000
7 Cl 0.000 0.000 0.500
8 Cl 0.500 0.500 0.500


2.
Material: TmPaGe
Method: DFT, GGA-PBE
State: relaxed

Calculated values
- SG: No. 156
- Energy relative to the elements: -0.0270 eV/atom
- Crystal system: trigonal

Unit cell a=4.932 b=4.932 c=3.462 alpha=90.00 beta=90.00 gamma=120.00
Atoms (fractional coordinates):
1 Tm 0.000 0.000 0.000
2 Pa 0.333 0.667 0.481
3 Ge 0.667 0.333 0.796


3.
Material: Ni3PRu
Method: DFT, GGA-PBE
State: relaxed

Calculated values
- SG: No. 221
- Energy relative to the elements: 1.5220 eV/atom
- Crystal system: cubic

Unit cell a=4.439 b=4.439 c=4.439 alpha=90.00 beta=90.00 gamma=90.00
Atoms (fractional coordinates):
1 Ni 0.000 0.000 0.500
2 Ni 0.000 0.500 0.000
3 Ni 0.500 0.000 0.000
4 P 0.500 0.500 0.500
5 Ru 0.000 0.000 0.000


4.
Material: BaSrSiSb2
Method: DFT, GGA-PBE
State: relaxed

Calculated values
- SG: No. 123
- Crystal system: tetragonal
- Formation energy from raw total energies: 0.815 eV/atom

Unit cell a=5.908 b=5.908 c=6.480 alpha=90.00 beta=90.00 gamma=90.00
Atoms (fractional coordinates):
1 Ba 0.000 0.000 0.000
2 Sr 0.000 0.000 0.500
3 Si 0.500 0.500 0.000
4 Sb 0.000 0.500 0.500
5 Sb 0.500 0.000 0.500


5.
Material: V2GaAs
Method: DFT, GGA-PBE
State: relaxed

Calculated values
- SG: No. 225
- Energy relative to the elements: 0.0057 eV/atom
- Crystal system: cubic

Unit cell a=4.330 b=4.330 c=4.330 alpha=60.00 beta=60.00 gamma=60.00
Atoms (fractional coordinates):
1 V 0.250 0.250 0.250
2 V 0.750 0.750 0.750
3 Ga 0.000 0.000 0.000
4 As 0.500 0.500 0.500


6.
Material: Co2Pd2Rh
Method: DFT, GGA-PBE
State: relaxed

Calculated values
- SG: No. 127
- Energy relative to the elements: 0.2958 eV/atom
- Crystal system: tetragonal

Unit cell a=7.244 b=7.244 c=2.702 alpha=90.00 beta=90.00 gamma=90.00
Atoms (fractional coordinates):
1 Co 0.169 0.331 0.000
2 Co 0.331 0.831 0.000
3 Co 0.669 0.169 0.000
4 Co 0.831 0.669 0.000
5 Pd 0.130 0.630 0.500
6 Pd 0.370 0.130 0.500
7 Pd 0.630 0.870 0.500
8 Pd 0.870 0.370 0.500
9 Rh 0.000 0.000 0.500
10 Rh 0.500 0.500 0.500


| no. | E (eV/cell) |
| --- | --- |
| 1 | -45.60 |
| 2 | -18.67 |
| 3 | -24.42 |
| 4 | -13.20 |
| 5 | -25.89 |
| 6 | -60.94 |